Record 1
Tb7Dy4Ho | PBE-GGA | optimized geometry

Cell lengths 5.8773, 11.5066, 6.6653 Å; angles 83.65, 63.84, 75.20 degrees
With the nearest neighbours (Å) after each atom.
Fractional positions:
Tb 0.6318 0.5002 0.2361  2 Tb 3.16-3.26, 3 Dy 3.27-3.45
Tb 0.9372 0.3192 0.8065  4 Tb 3.26-3.57, 3 Dy 3.63-3.64
Tb 0.0628 0.6808 0.1935  4 Tb 3.26-3.57, 3 Dy 3.63-3.64
Tb 0.3682 0.4998 0.7639  2 Tb 3.16-3.26, 3 Dy 3.27-3.45
Tb 0.5000 0.0000 0.0000  2 Ho 2.94, 2 Tb 3.11
Tb 0.2116 0.0768 0.4999  4 Tb 3.11-3.40, 1 Ho 3.11, 4 Dy 3.27-3.36
Tb 0.7884 0.9232 0.5001  4 Tb 3.11-3.40, 1 Ho 3.11, 4 Dy 3.27-3.36
Ho 0.0000 0.0000 0.0000  4 Tb 2.94-3.11
Dy 0.3610 0.7760 0.5020  7 Tb 3.35-3.63, 2 Dy 3.61
Dy 0.7596 0.6786 0.8022  5 Tb 3.27-3.64, 2 Dy 3.61
Dy 0.6390 0.2240 0.4980  7 Tb 3.35-3.63, 2 Dy 3.61
Dy 0.2404 0.3214 0.1978  5 Tb 3.27-3.64, 2 Dy 3.61

Output
- Spin magnetization: 0.0 μB per formula unit
- E_form: 27 kJ/mol of atoms

---

Record 2
Te3SeN | PBE-GGA | optimized geometry

Cell lengths 4.8053, 4.8053, 4.8053 Å; angles 90.00, 90.00, 90.00 degrees
With the nearest neighbours (Å) after each atom.
Fractional positions:
Te 0.0000 0.0000 0.5000  2 N 2.40
Te 0.0000 0.5000 0.0000  2 N 2.40
Te 0.5000 0.0000 0.0000  2 N 2.40
N 0.0000 0.0000 0.0000  6 Te 2.40
Se 0.5000 0.5000 0.5000  12 Te 3.40

Output
- Spin magnetization: 0.0 μB per formula unit
- Formation energy without anion corrections: 860 meV/atom

---

Record 3
NaMg2Co2 | PBE-GGA | optimized geometry

Cell lengths 7.7996, 7.7996, 2.8324 Å; angles 90.00, 90.00, 90.00 degrees
With the nearest neighbours (Å) after each atom.
Fractional positions:
Mg 0.1832 0.6832 0.5000  6 Co 2.71-2.76, 2 Mg 2.83
Mg 0.3168 0.1832 0.5000  6 Co 2.71-2.76, 2 Mg 2.83
Mg 0.8168 0.3168 0.5000  6 Co 2.71-2.76, 2 Mg 2.83
Mg 0.6832 0.8168 0.5000  6 Co 2.71-2.76, 2 Mg 2.83
Na 0.5000 0.5000 0.0000  2 Na 2.83
Na 0.0000 0.0000 0.0000  2 Na 2.83
Co 0.1021 0.3979 0.0000  1 Co 2.25
Co 0.8979 0.6021 0.0000  1 Co 2.25
Co 0.6021 0.1021 0.0000  1 Co 2.25
Co 0.3979 0.8979 0.0000  1 Co 2.25

Output
- Spin magnetization: 2.3 μB per formula unit
- E_form: 26 kJ/mol of atoms

---

Record 4
TbTmTe2S | PBE-GGA | optimized geometry

Cell lengths 4.3790, 4.3790, 15.5359 Å; angles 90.00, 90.00, 90.00 degrees
With the nearest neighbours (Å) after each atom.
Fractional positions:
Tb 0.5000 0.0000 0.6017  4 S 2.70
Tb 0.0000 0.5000 0.3983  4 S 2.70
Te 0.0000 0.5000 0.7020  1 Tm 2.87
Te 0.0000 0.5000 0.0913  5 Tm 3.11-3.18
Te 0.5000 0.0000 0.9087  5 Tm 3.11-3.18
Te 0.5000 0.0000 0.2980  1 Tm 2.87
Tm 0.5000 0.0000 0.1131  6 Te 2.87-3.18
Tm 0.0000 0.5000 0.8869  6 Te 2.87-3.18
S 0.5000 0.5000 0.5000  4 Tb 2.70
S 0.0000 0.0000 0.5000  4 Tb 2.70

Output
- Spin magnetization: 0.0 μB per formula unit
- Formation energy without anion corrections: -1446 meV/atom

---

Record 5
Dy5Mg4Pd | PBE-GGA | optimized geometry

Cell lengths 3.7092, 3.7092, 18.7380 Å; angles 90.00, 90.00, 90.00 degrees
With the nearest neighbours (Å) after each atom.
Fractional positions:
Mg 0.0000 0.0000 0.1924  8 Dy 3.24-3.29, 1 Pd 3.60
Mg 0.0000 0.0000 0.8076  8 Dy 3.24-3.29, 1 Pd 3.60
Mg 0.0000 0.0000 0.6036  8 Dy 3.25-3.26
Mg 0.0000 0.0000 0.3964  8 Dy 3.25-3.26
Dy 0.5000 0.5000 0.2937  8 Mg 3.24-3.25
Dy 0.5000 0.5000 0.9133  4 Pd 3.08, 1 Dy 3.25, 4 Mg 3.29
Dy 0.5000 0.5000 0.5000  8 Mg 3.26
Dy 0.5000 0.5000 0.7063  8 Mg 3.24-3.25
Dy 0.5000 0.5000 0.0867  4 Pd 3.08, 1 Dy 3.25, 4 Mg 3.29
Pd 0.0000 0.0000 0.0000  8 Dy 3.08

Output
- Spin magnetization: 0.0 μB per formula unit
- E_form: -23 kJ/mol of atoms

---

Record 6
Tb2Y2N3 | PBE-GGA | optimized geometry

Cell lengths 3.5061, 6.0939, 6.0937 Å; angles 99.89, 106.72, 90.00 degrees
With the nearest neighbours (Å) after each atom.
Fractional positions:
Y 0.6252 0.8855 0.2505  5 N 2.41-2.53
Y 0.3748 0.1145 0.7495  5 N 2.41-2.53
Tb 0.1338 0.3640 0.2675  4 N 2.37-2.51
Tb 0.8662 0.6360 0.7325  4 N 2.37-2.51
N 0.2528 0.7501 0.5056  3 Tb 2.37-2.51, 3 Y 2.41-2.53
N 0.0000 0.0000 0.0000  4 Y 2.46, 2 Tb 2.47
N 0.7472 0.2499 0.4944  3 Tb 2.37-2.51, 3 Y 2.41-2.53

Output
- Spin magnetization: 0.0 μB per formula unit
- Formation energy without anion corrections: -1425 meV/atom

---

Record 7
Tl2VH | PBE-GGA | optimized geometry

Cell lengths 6.9313, 6.9313, 5.8547 Å; angles 53.71, 53.71, 90.00 degrees
With the nearest neighbours (Å) after each atom.
Fractional positions:
V 0.0000 0.0000 0.0000  8 Tl 2.93-3.21, 2 H 3.20
V 0.7500 0.2500 0.5000  8 Tl 2.93-3.21, 2 H 3.20
Tl 0.1958 0.6250 0.2500  2 H 2.28
Tl 0.5542 0.1250 0.2500  2 H 2.28
Tl 0.3750 0.4458 0.7500  2 H 2.28
Tl 0.8750 0.8042 0.7500  2 H 2.28
H 0.2500 0.7500 0.5000  4 Tl 2.28
H 0.5000 0.5000 0.0000  4 Tl 2.28

Output
- Spin magnetization: 3.4 μB per formula unit
- Calculated total energy: -3.5748 eV per atom

---

Record 8
NaLaIn2Rh | PBE-GGA | optimized geometry

Cell lengths 5.3156, 5.3156, 5.2484 Å; angles 90.00, 90.00, 90.00 degrees
With the nearest neighbours (Å) after each atom.
Fractional positions:
In 0.5000 0.0000 0.0000  2 Rh 2.66
In 0.0000 0.5000 0.0000  2 Rh 2.66
La 0.0000 0.0000 0.5000  2 Rh 2.62
Rh 0.0000 0.0000 0.0000  2 La 2.62, 4 In 2.66
Na 0.5000 0.5000 0.5000  8 In 3.74, 4 La 3.76

Output
- Spin magnetization: 0.0 μB per formula unit
- E_form: -37 kJ/mol of atoms

---

Record 9
Ca2LaTl2In2 | PBE-GGA | optimized geometry

Cell lengths 5.1092, 5.1092, 9.8263 Å; angles 74.93, 74.93, 60.00 degrees
With the nearest neighbours (Å) after each atom.
Fractional positions:
Tl 0.5708 0.5708 0.2876  3 In 3.10, 3 Ca 3.14
Tl 0.4292 0.4292 0.7124  3 In 3.10, 3 Ca 3.14
In 0.2716 0.2716 0.1851  3 Tl 3.10, 3 La 3.42
In 0.7284 0.7284 0.8149  3 Tl 3.10, 3 La 3.42
Ca 0.8661 0.8661 0.4017  3 Tl 3.14, 3 Ca 3.48
Ca 0.1339 0.1339 0.5983  3 Tl 3.14, 3 Ca 3.48
La 0.0000 0.0000 0.0000  6 In 3.42, 2 Ca 3.77

Output
- Spin magnetization: 0.0 μB per formula unit
- E_form: -26 kJ/mol of atoms

---

Record 10
AlFe3As | PBE-GGA | optimized geometry

Cell lengths 4.3609, 4.3609, 4.3609 Å; angles 90.00, 90.00, 90.00 degrees
With the nearest neighbours (Å) after each atom.
Fractional positions:
Al 0.0000 0.0000 0.0000  6 Fe 2.18
Fe 0.0000 0.0000 0.5000  2 Al 2.18
Fe 0.5000 0.0000 0.0000  2 Al 2.18
Fe 0.0000 0.5000 0.0000  2 Al 2.18
As 0.5000 0.5000 0.5000  12 Fe 3.08

Output
- Spin magnetization: 7.4 μB per formula unit
- E_form: 99 kJ/mol of atoms

---

Record 11
In2Te3 | PBE-GGA | optimized geometry

Cell lengths 4.5566, 4.5566, 10.6897 Å; angles 90.00, 90.00, 120.00 degrees
With the nearest neighbours (Å) after each atom.
Fractional positions:
Te 0.0000 0.0000 0.2511  4 In 2.97-3.02
Te 0.6667 0.3333 0.6330  1 In 2.69
Te 0.3333 0.6667 0.8496  3 In 2.92
In 0.0000 0.0000 0.9688  4 Te 2.92-3.02
In 0.6667 0.3333 0.3808  4 Te 2.69-2.97

Output
- Spin magnetization: 0.0 μB per formula unit
- Formation energy without anion corrections: -102 meV/atom

---

Record 12
Zr4CdPb | PBE-GGA | optimized geometry

Cell lengths 5.1521, 5.1392, 5.8467 Å; angles 90.00, 116.14, 90.00 degrees
With the nearest neighbours (Å) after each atom.
Fractional positions:
Zr 0.6662 0.0000 0.3324  2 Cd 3.11, 2 Pb 3.11, 4 Zr 3.11-3.12
Zr 0.8335 0.5000 0.6670  2 Pb 3.11, 4 Zr 3.11-3.12, 2 Cd 3.11
Zr 0.1665 0.5000 0.3330  2 Pb 3.11, 4 Zr 3.11-3.12, 2 Cd 3.11
Zr 0.3338 0.0000 0.6676  2 Cd 3.11, 2 Pb 3.11, 4 Zr 3.11-3.12
Pb 0.0000 0.0000 0.0000  8 Zr 3.11
Cd 0.5000 0.5000 0.0000  8 Zr 3.11

Output
- Spin magnetization: 0.0 μB per formula unit
- E_form: -10 kJ/mol of atoms

---

Record 13
ReB4 | PBE-GGA | optimized geometry

Cell lengths 5.4424, 5.4424, 6.2145 Å; angles 90.00, 90.00, 120.00 degrees
With the nearest neighbours (Å) after each atom.
Fractional positions:
B 0.6667 0.3333 0.1139  1 B 1.69
B 0.6624 0.6624 0.0000  5 B 1.77-1.94
B 0.3376 0.0000 0.0000  5 B 1.77-1.94
B 0.3333 0.6667 0.6139  1 B 1.69
B 0.6624 0.6624 0.5000  5 B 1.77-1.94
B 0.3376 0.3376 0.0000  5 B 1.77-1.94
B 0.3376 0.0000 0.5000  5 B 1.77-1.94
B 0.0000 0.3376 0.5000  5 B 1.77-1.94
B 0.3333 0.6667 0.8861  1 B 1.69
B 0.0000 0.6624 0.5000  5 B 1.77-1.94
B 0.0000 0.6624 0.0000  5 B 1.77-1.94
B 0.6667 0.3333 0.3861  1 B 1.69
B 0.6624 0.0000 0.5000  5 B 1.77-1.94
B 0.3376 0.3376 0.5000  5 B 1.77-1.94
B 0.0000 0.3376 0.0000  5 B 1.77-1.94
B 0.6624 0.0000 0.0000  5 B 1.77-1.94
Re 0.3333 0.6667 0.2500  14 B 2.26-2.38
Re 0.0000 0.0000 0.7500  12 B 2.41
Re 0.0000 0.0000 0.2500  12 B 2.41
Re 0.6667 0.3333 0.7500  14 B 2.26-2.38

Output
- Spin magnetization: 0.0 μB per formula unit
- E_form: 54 kJ/mol of atoms

---

Record 14
AcPrEr2Sb4 | PBE-GGA | optimized geometry

Cell lengths 4.5248, 7.8116, 7.8371 Å; angles 70.49, 90.00, 90.00 degrees
With the nearest neighbours (Å) after each atom.
Fractional positions:
Sb 0.0000 0.7717 0.7373  3 Er 3.09-3.14, 1 Pr 3.26, 2 Ac 3.31
Sb 0.5000 0.7673 0.2496  3 Er 3.09-3.14, 2 Pr 3.25, 1 Ac 3.30
Sb 0.5000 0.2327 0.7504  3 Er 3.09-3.14, 2 Pr 3.25, 1 Ac 3.30
Sb 0.0000 0.2283 0.2627  3 Er 3.09-3.14, 1 Pr 3.26, 2 Ac 3.31
Ac 0.5000 0.5000 0.0000  6 Sb 3.30-3.31
Pr 0.0000 0.5000 0.5000  6 Sb 3.25-3.26
Er 0.5000 0.0000 0.5000  6 Sb 3.09
Er 0.0000 0.0000 0.0000  6 Sb 3.14

Output
- Spin magnetization: 0.0 μB per formula unit
- Formation energy without anion corrections: -1127 meV/atom

---

Record 15
KSr2Ag | PBE-GGA | optimized geometry

Cell lengths 4.1374, 4.1374, 10.5621 Å; angles 90.00, 90.00, 90.01 degrees
With the nearest neighbours (Å) after each atom.
Fractional positions:
Sr 0.0000 0.0000 0.0242  8 Sr 4.14-4.26, 4 K 4.59
Sr 0.5000 0.5000 0.3177  4 Ag 3.33
Ag 0.0000 0.0000 0.4685  4 Sr 3.33
K 0.5000 0.5000 0.6896  4 Ag 3.74, 1 Sr 3.93, 4 K 4.14

Output
- Spin magnetization: 0.0 μB per formula unit
- E_form: -3 kJ/mol of atoms